Entry 1:
AsH2Pt2 | PBE | optimized geometry

Unit cell a=6.6109 b=6.6109 c=2.8587 alpha=90.00 beta=90.00 gamma=90.00
Fractional positions:
1 As 0.0000 0.0000 0.0000
2 As 0.5000 0.5000 0.0000
3 H 0.1046 0.3954 0.0000
4 H 0.3954 0.8954 0.0000
5 H 0.6046 0.1046 0.0000
6 H 0.8954 0.6046 0.0000
7 Pt 0.2116 0.2884 0.5000
8 Pt 0.2884 0.7884 0.5000
9 Pt 0.7116 0.2116 0.5000
10 Pt 0.7884 0.7116 0.5000

Computed properties:
**Polymorph energy (0 for the lowest one)**: 0.039 eV per atom
**Space-group type**: No. 127
**Total DFT energy (no corrections)**: -45.52 eV for the cell shown

Entry 2:
LiTl2GaNi | PBE | optimized geometry

Unit cell a=4.9523 b=4.9523 c=4.6012 alpha=90.00 beta=90.00 gamma=90.00
Fractional positions:
1 Li 0.0000 0.0000 0.0000
2 Tl 0.0000 0.5000 0.0000
3 Tl 0.5000 0.0000 0.0000
4 Ga 0.0000 0.0000 0.5000
5 Ni 0.5000 0.5000 0.5000

Computed properties:
**Energy relative to the elements**: 624 meV/atom
**Space-group type**: No. 123
**Total DFT energy (no corrections)**: -12.33 eV for the cell shown

Entry 3:
CoAg2Mo | PBE | optimized geometry

Unit cell a=2.6934 b=2.6934 c=8.5690 alpha=90.00 beta=90.00 gamma=90.00
Fractional positions:
1 Co 0.0000 0.0000 0.0000
2 Ag 0.5000 0.5000 0.2347
3 Ag 0.5000 0.5000 0.7653
4 Mo 0.0000 0.0000 0.5000

Computed properties:
**Polymorph energy (0 for the lowest one)**: 0.233 eV per atom
**Energy relative to the elements**: 512 meV/atom
**Space-group type**: No. 123
**Total DFT energy (no corrections)**: -21.59 eV for the cell shown